# 1
VASP calculation (PBE) on crystalline RbMg3Sn at its relaxed geometry.

For the relative energy among the computed polymorphs, the calculation gives 0.9315 eV per atom. The calculation puts the density of states at the Fermi level at 0.8862 states/eV/atom. The total moment is 0.00 μB/cell. The formation energy from the elements is 5.84 eV/f.u. The space group is Pm-3m (221).

Unit cell a=6.0852 b=6.0852 c=6.0852 alpha=90.00 beta=90.00 gamma=90.00
Positions (direct):
Rb 0.0000 0.0000 0.0000
Mg 0.0000 0.0000 0.5000
Mg 0.0000 0.5000 0.0000
Mg 0.5000 0.0000 0.0000
Sn 0.5000 0.5000 0.5000

---

# 2
VASP calculation (PBE) on crystalline PmGa2RuPt at its relaxed geometry.

The calculation puts the density of states at the Fermi level at 0.4972 states/eV/atom. The total moment is 0.00 μB/cell. The formation energy from the elements is -3.58 eV/f.u. The space group is I-4m2 (119).

Unit cell a=4.2857 b=4.2857 c=10.1997 alpha=90.00 beta=90.00 gamma=90.00
Positions (direct):
Pm 0.0000 0.0000 0.0000
Pm 0.5000 0.5000 0.5000
Ga 0.0000 0.0000 0.3752
Ga 0.0000 0.0000 0.6248
Ga 0.5000 0.5000 0.1248
Ga 0.5000 0.5000 0.8752
Ru 0.0000 0.5000 0.7500
Ru 0.5000 0.0000 0.2500
Pt 0.0000 0.5000 0.2500
Pt 0.5000 0.0000 0.7500

---

# 3
VASP calculation (PBE) on crystalline TlHgF3 at its relaxed geometry.

The value obtained for the energy relative to the elements, uncorrected is -1.339 eV/atom. The calculation puts the density of states at the Fermi level at 0.1318 states/eV/atom. The total moment is 0.00 μB/cell. The space group is Cmcm (63).

Unit cell a=6.7135 b=6.7135 c=5.1392 alpha=90.00 beta=90.00 gamma=127.07
Positions (direct):
Tl 0.1564 0.8436 0.7500
Tl 0.8436 0.1564 0.2500
Hg 0.4582 0.5418 0.7500
Hg 0.5418 0.4582 0.2500
F 0.0000 0.0000 0.0000
F 0.0000 0.0000 0.5000
F 0.0475 0.4568 0.7500
F 0.4568 0.0475 0.2500
F 0.5432 0.9525 0.7500
F 0.9525 0.5432 0.2500

---

# 4
VASP calculation (PBE) on crystalline YNi2PdW at its relaxed geometry.

The calculation puts the density of states at the Fermi level at 0.8275 states/eV/atom. The total moment is 2.56 μB/cell. The formation energy from the elements is 10.07 eV/f.u. The space group is P4/mmm (123).

Unit cell a=4.5313 b=4.5313 c=5.0317 alpha=90.00 beta=90.00 gamma=90.00
Positions (direct):
Y 0.0000 0.0000 0.0000
Ni 0.0000 0.5000 0.0000
Ni 0.5000 0.0000 0.0000
Pd 0.5000 0.5000 0.5000
W 0.0000 0.0000 0.5000